Record 1
# MnSeO4, relaxed, DFT GGA-PBEsol
# * uncorrected formation energy: -0.877 eV/atom
data_MnSeO4
_cell_length_a 5.568
_cell_length_b 8.357
_cell_length_c 6.709
_cell_angle_alpha 90.00
_cell_angle_beta 90.00
_cell_angle_gamma 90.00
_space_group_name_H-M_alt 'C m c m'
_space_group_IT_number 63
_space_group_name_Hall '-C 2c 2'
loop_
_atom_site_label
_atom_site_type_symbol
_atom_site_fract_x
_atom_site_fract_y
_atom_site_fract_z
Mn1 Mn 0.000 0.000 0.000
Se1 Se 0.000 0.352 0.250
O1 O 0.000 0.243 0.044
O2 O 0.248 0.470 0.250

***

Record 2
# SbBrCl2, relaxed, DFT GGA-PBEsol
# * uncorrected formation energy: -0.706 eV/atom
# * E above lowest polymorph: 0 meV per atom
data_SbBrCl2
_cell_length_a 6.191
_cell_length_b 3.950
_cell_length_c 6.722
_cell_angle_alpha 90.00
_cell_angle_beta 110.51
_cell_angle_gamma 90.00
_space_group_name_H-M_alt 'P 1 m 1'
_space_group_IT_number 6
loop_
_space_group_symop_operation_xyz
'x,y,z'
'x,-y,z'
loop_
_atom_site_label
_atom_site_type_symbol
_atom_site_fract_x
_atom_site_fract_y
_atom_site_fract_z
Sb1 Sb 0.000 0.000 0.000
Br1 Br 0.832 0.500 0.205
Cl1 Cl 0.156 0.500 0.820
Cl2 Cl 0.653 0.000 0.711

***

Record 3
# Sr2ZrIn, relaxed, DFT GGA-PBEsol
# * DFT formation energy: 1.0 eV/f.u.
data_Sr2ZrIn
_cell_length_a 3.5319
_cell_length_b 3.5319
_cell_length_c 34.5965
_cell_angle_alpha 90.00
_cell_angle_beta 90.00
_cell_angle_gamma 120.00
_space_group_name_H-M_alt 'R -3 m'
_space_group_IT_number 166
_space_group_name_Hall '-R 3 2"'
loop_
_atom_site_label
_atom_site_type_symbol
_atom_site_fract_x
_atom_site_fract_y
_atom_site_fract_z
Sr1 Sr 0.0000 0.0000 0.2486
Zr1 Zr 0.0000 0.0000 0.0000
In1 In 0.0000 0.0000 0.5000

***

Record 4
# CsAlNiF6, relaxed, DFT GGA-PBEsol
# * uncorrected formation energy: -2.827 eV/atom
data_CsAlNiF6
_cell_length_a 7.043
_cell_length_b 7.135
_cell_length_c 10.016
_cell_angle_alpha 90.00
_cell_angle_beta 90.00
_cell_angle_gamma 90.00
_space_group_name_H-M_alt 'I m m a'
_space_group_IT_number 74
_space_group_name_Hall '-I 2b 2'
loop_
_atom_site_label
_atom_site_type_symbol
_atom_site_fract_x
_atom_site_fract_y
_atom_site_fract_z
Cs1 Cs 0.000 0.250 0.122
Al1 Al 0.250 0.250 0.750
Ni1 Ni 0.000 0.000 0.500
F1 F 0.000 0.250 0.417
F2 F 0.000 0.250 0.799
F3 F 0.208 0.070 0.627

***

Record 5
# Mn2CdPb, relaxed, DFT GGA-PBEsol
# * DFT formation energy: 2.0 eV/f.u.
data_Mn2CdPb
_cell_length_a 3.190
_cell_length_b 4.610
_cell_length_c 9.822
_cell_angle_alpha 90.00
_cell_angle_beta 90.00
_cell_angle_gamma 90.00
_space_group_name_H-M_alt 'I m m 2'
_space_group_IT_number 44
loop_
_space_group_symop_operation_xyz
'x,y,z'
'-x,-y,z'
'-x,y,z'
'x,-y,z'
'x+1/2,y+1/2,z+1/2'
'-x+1/2,-y+1/2,z+1/2'
'-x+1/2,y+1/2,z+1/2'
'x+1/2,-y+1/2,z+1/2'
loop_
_atom_site_label
_atom_site_type_symbol
_atom_site_fract_x
_atom_site_fract_y
_atom_site_fract_z
Mn1 Mn 0.000 0.000 0.000
Mn2 Mn 0.000 0.500 0.280
Cd1 Cd 0.000 0.000 0.535
Pb1 Pb 0.000 0.500 0.763

***

Record 6
# ScCu2Si, relaxed, DFT GGA-PBEsol
# * uncorrected formation energy: -0.210 eV/atom
data_ScCu2Si
_cell_length_a 3.014
_cell_length_b 3.014
_cell_length_c 6.210
_cell_angle_alpha 90.00
_cell_angle_beta 90.00
_cell_angle_gamma 90.00
_space_group_name_H-M_alt 'P 4 m m'
_space_group_IT_number 99
loop_
_space_group_symop_operation_xyz
'x,y,z'
'-y,x,z'
'-x,-y,z'
'y,-x,z'
'-x,y,z'
'y,x,z'
'x,-y,z'
'-y,-x,z'
loop_
_atom_site_label
_atom_site_type_symbol
_atom_site_fract_x
_atom_site_fract_y
_atom_site_fract_z
Sc1 Sc 0.000 0.000 0.000
Cu1 Cu 0.000 0.000 0.502
Cu2 Cu 0.500 0.500 0.712
Si1 Si 0.500 0.500 0.303

***

Record 7
# Rb2NaMoCl6, relaxed, DFT GGA-PBEsol
# * uncorrected formation energy: -1.496 eV/atom
data_Rb2NaMoCl6
_cell_length_a 10.211
_cell_length_b 10.211
_cell_length_c 10.211
_cell_angle_alpha 90.00
_cell_angle_beta 90.00
_cell_angle_gamma 90.00
_space_group_name_H-M_alt 'F m -3 m'
_space_group_IT_number 225
_space_group_name_Hall '-F 4 2 3'
loop_
_atom_site_label
_atom_site_type_symbol
_atom_site_fract_x
_atom_site_fract_y
_atom_site_fract_z
Rb1 Rb 0.250 0.250 0.250
Na1 Na 0.000 0.000 0.000
Mo1 Mo 0.000 0.000 0.500
Cl1 Cl 0.000 0.000 0.263

***

Record 8
# KInAs3, relaxed, DFT GGA-PBEsol
# * DFT formation energy: 6.9 eV/f.u.
data_KInAs3
_cell_length_a 5.332
_cell_length_b 5.332
_cell_length_c 5.332
_cell_angle_alpha 90.00
_cell_angle_beta 90.00
_cell_angle_gamma 90.00
_space_group_name_H-M_alt 'P m -3 m'
_space_group_IT_number 221
_space_group_name_Hall '-P 4 2 3'
loop_
_atom_site_label
_atom_site_type_symbol
_atom_site_fract_x
_atom_site_fract_y
_atom_site_fract_z
K1 K 0.000 0.000 0.000
In1 In 0.500 0.500 0.500
As1 As 0.000 0.000 0.500